11
Lattice="7.817 -2.709 -5.491 -5.310 8.238 1.590 -1.746 2.709 9.392" Properties=species:S:1:pos:R:3 comment="PBE CaAc4Nd6, optimized geometry" ef_ev_per_fu=2.94 n_ef_per_ev_cell=18.99 crystal_system=tetragonal pbc="T T T"
Ac 0.343 3.064 2.015
Ac -3.335 5.174 1.065
Ac -2.172 9.191 7.506
Ac -1.132 1.757 5.887
Nd 1.253 2.765 -1.950
Nd 3.035 0.000 1.950
Nd 3.671 0.763 -1.136
Nd -3.699 5.738 7.853
Nd -4.819 7.475 5.401
Nd -1.450 5.210 4.355
Ca 0.000 0.000 0.000


20
Lattice="6.806 0.164 0.228 -1.480 6.645 0.228 -1.480 -1.893 6.374" Properties=species:S:1:pos:R:3 comment="PBE KPm3B4O12, optimized geometry" e_form_raw_ev_per_atom=-2.651 n_ef_per_ev_cell=9.74 crystal_system=trigonal pbc="T T T"
O 5.263 3.288 0.938
O -1.417 5.071 3.416
O 1.923 1.329 4.229
O 2.852 5.447 0.365
O -0.754 0.837 6.466
O 1.923 -0.983 5.893
O 3.019 2.731 2.602
O 5.875 0.682 2.846
O -2.029 2.434 5.281
O 0.994 6.300 1.550
O 0.826 3.316 3.416
O 4.599 -0.949 3.985
Pm 2.987 3.152 0.228
Pm -1.480 2.710 3.061
Pm 2.339 -0.945 3.541
B 1.923 2.459 3.416
B -1.935 1.501 6.276
B 5.780 -0.558 3.416
B 1.923 6.433 0.555
K 0.000 0.000 0.000


16
Lattice="6.992 0.061 -0.106 -1.983 6.705 -0.106 -2.209 -2.983 8.849" Properties=species:S:1:pos:R:3 comment="PBE AcUCuS5, optimized geometry" e_form_raw_ev_per_atom=-1.245 crystal_system=monoclinic pbc="T T T"
U -1.104 -1.492 4.425
U 0.000 0.000 0.000
S -2.601 1.861 7.915
S -1.814 5.426 2.106
S -0.215 0.797 4.995
S 3.015 2.987 3.642
S 3.644 -0.453 3.490
S 5.402 1.922 0.722
S 4.615 -1.643 6.531
S 1.929 1.519 0.570
S 0.872 2.264 8.067
S -0.843 4.236 5.146
Cu -0.850 2.403 6.531
Cu 3.651 1.380 2.106
Ac 2.265 0.096 6.531
Ac 0.535 3.687 2.106


6
Lattice="-0.639 3.070 3.006 -1.863 -3.898 0.447 9.524 -3.868 5.975" Properties=species:S:1:pos:R:3 comment="PBE KSbP, optimized geometry" e_form_raw_ev_per_atom=-0.150 polymorph_energy_ev_per_atom=0.125 n_ef_per_ev_cell=3.38 crystal_system=hexagonal pbc="T T T"
Sb 9.348 -3.796 5.864
Sb 4.586 -1.862 2.877
K 0.581 -2.403 2.577
K 5.752 -2.014 6.418
P 7.105 -5.052 6.670
P 2.751 -0.795 4.535


4
Lattice="4.858 0.080 0.000 1.581 4.594 0.000 -3.219 -2.337 2.789" Properties=species:S:1:pos:R:3 comment="PBE FeRe2Te, optimized geometry" e_form_raw_ev_per_atom=0.716 n_ef_per_ev_cell=5.70 crystal_system=tetragonal pbc="T T T"
Fe 2.429 0.040 1.395
Re 0.790 2.297 1.395
Re 0.000 0.000 0.000
Te 3.219 2.337 0.000


4
Lattice="-0.355 -3.041 -0.965 0.553 -1.579 4.773 -4.737 0.343 0.662" Properties=species:S:1:pos:R:3 comment="PBE Cd2NiCl, optimized geometry" e_form_raw_ev_per_atom=0.259 polymorph_energy_ev_per_atom=0.441 n_ef_per_ev_cell=3.29 crystal_system=orthorhombic pbc="T T T"
Cd 0.099 -2.310 1.904
Cd 0.000 0.000 0.000
Cl -2.546 -1.349 -0.152
Ni -2.092 -0.618 2.717


15
Lattice="-0.082 -3.986 -5.412 8.337 3.857 1.208 1.578 -4.858 7.731" Properties=species:S:1:pos:R:3 comment="PBE Pr3Ho8Er4, optimized geometry" ef_ev_per_fu=5.98 n_ef_per_ev_cell=28.98 crystal_system=monoclinic pbc="T T T"
Er -0.041 -1.993 -2.706
Er 4.169 1.929 0.604
Er 0.000 0.000 0.000
Er 0.789 -2.429 3.865
Ho 4.009 -1.724 5.385
Ho 2.619 -2.437 -0.542
Ho 2.556 -0.303 2.244
Ho 7.214 -2.550 4.070
Ho 5.906 0.723 3.554
Ho 3.237 -4.658 3.384
Ho 6.595 -0.329 0.144
Ho 7.277 -4.684 1.283
Pr 4.916 -2.493 1.764
Pr 4.128 -0.064 -2.102
Pr 0.748 -4.422 1.159


10
Lattice="-1.026 2.292 2.998 -3.389 -2.344 0.633 7.768 -5.642 6.972" Properties=species:S:1:pos:R:3 comment="PBE PmYCo3, optimized geometry" ef_ev_per_fu=-0.74 n_ef_per_ev_cell=8.03 crystal_system=orthorhombic pbc="T T T"
Co 5.524 -5.913 7.687
Co 4.342 -4.586 6.268
Co 0.091 -2.890 3.517
Co -0.989 -1.107 4.334
Co 3.262 -2.803 7.086
Co -2.171 0.219 2.916
Pm 2.749 -5.301 8.821
Pm 0.604 -0.392 1.782
Y 1.630 -4.616 5.363
Y 1.723 -1.077 5.240


6
Lattice="6.168 0.000 0.000 3.084 5.342 0.000 3.084 1.781 5.036" Properties=species:S:1:pos:R:3 comment="PBE SrSmIn4, optimized geometry" ef_ev_per_fu=-2.17 n_ef_per_ev_cell=4.62 crystal_system=cubic pbc="T T T"
In 7.715 4.454 3.149
In 6.168 1.775 3.149
In 4.621 4.454 3.149
In 6.168 3.561 0.624
Sr 3.084 1.781 1.259
Sm 0.000 0.000 0.000


5
Lattice="-1.766 -1.356 3.200 -1.233 -3.111 -1.999 3.249 -1.918 0.981" Properties=species:S:1:pos:R:3 comment="PBE BeFe4, optimized geometry" polymorph_energy_ev_per_atom=0.018 ef_ev_per_fu=2.91 n_ef_per_ev_cell=4.97 crystal_system=cubic pbc="T T T"
Fe 0.000 0.000 0.000
Fe 1.008 -2.515 -0.509
Fe -1.500 -2.234 0.600
Fe 0.741 -1.637 2.090
Be 0.125 -3.193 1.091


4
Lattice="5.157 0.000 0.000 2.579 4.466 0.000 2.579 1.489 4.211" Properties=species:S:1:pos:R:3 comment="PBE LaCeNiAg, optimized geometry" ef_ev_per_fu=-0.46 n_ef_per_ev_cell=9.13 crystal_system=cubic pbc="T T T"
Ni 2.579 1.489 1.053
Ce 0.000 0.000 0.000
La 5.157 2.977 2.105
Ag 7.736 4.466 3.158


8
Lattice="3.389 0.000 0.000 0.000 8.729 0.000 0.000 -4.365 7.560" Properties=species:S:1:pos:R:3 comment="PBE Sm3Er2Cd3, optimized geometry" polymorph_energy_ev_per_atom=0.094 ef_ev_per_fu=-1.11 n_ef_per_ev_cell=10.53 crystal_system=hexagonal pbc="T T T"
Er 0.000 0.000 5.040
Er 0.000 4.365 2.520
Sm 0.000 -1.035 1.793
Sm 0.000 3.330 5.767
Sm 0.000 2.070 0.000
Cd 1.695 5.331 0.000
Cd 1.695 -2.665 4.617
Cd 1.695 1.699 2.943


| no. | density (Mg/m³) |
| --- | --- |
| 1 | 6.8 |
| 2 | 4.0 |
| 3 | 5.6 |
| 4 | 3.3 |
| 5 | 14.9 |
| 6 | 6.8 |
| 7 | 8.0 |
| 8 | 7.2 |
| 9 | 7.0 |
| 10 | 6.5 |
| 11 | 7.6 |
| 12 | 8.3 |